## BeRh2PbC (PBE)

Data for an optimized crystal structure of BeRh2PbC.

Summary:
The volume comes out at 16.1 A^3/atom. The calculation puts the formation enthalpy at 0 K at 0.681 eV per atom. Its crystal system is tetragonal.

Lattice parameters (Å, degrees): 3.990 3.990 5.066 90.00 90.00 90.00
Space group P4/mmm (No. 123)
Inequivalent atoms, fractional coordinates:
Be 0.000 0.000 0.000
Rh 0.000 0.500 0.500
Pb 0.500 0.500 0.000
C 0.500 0.500 0.500